[1]
Here is a relaxed Ho2ZnCo2Ni5 crystal from Alexandria. Energies are from GGA-PBE.

Its volume is 14.222 A^3/atom. As for the crystal system: tetragonal. Its energy relative to the elements is -0.195 eV per atom.

It has space group P4/mbm (No. 127), with a = 8.678 Å, b = 8.678 Å, c = 3.777 Å, α = 90.00°, β = 90.00° and γ = 90.00°. Symmetry generates all atoms from Ho at (0.180, 0.320, 0.000), Zn at (0.000, 0.000, 0.000), Co at (0.116, 0.616, 0.000), Ni at (0.000, 0.500, 0.500) and Ni at (0.062, 0.793, 0.500).



[2]
Here is a relaxed Ho2ZnCo3Ni12 crystal from Alexandria. Energies are from GGA-PBE.

Its volume is 13.062 A^3/atom. As for the crystal system: trigonal. Its energy relative to the elements is 0.040 eV per atom.

It has space group R-3m (No. 166, hexagonal axes), with a = 8.2560 Å, b = 8.2560 Å, c = 11.9489 Å, α = 90.00°, β = 90.00° and γ = 120.00°. Symmetry generates all atoms from Ho at (0.0000, 0.0000, 0.2273), Zn at (0.0000, 0.0000, 0.5000), Co at (0.0000, 0.5000, 0.0000), Ni at (0.0148, 0.5074, 0.2071) and Ni at (0.0439, 0.5219, 0.6023).



[3]
Here is a relaxed HoZrCoNi crystal from Alexandria. Energies are from GGA-PBE.

Its volume is 17.486 A^3/atom. As for the crystal system: cubic. Its energy relative to the elements is -0.269 eV per atom.

It has space group F-43m (No. 216), with a = 6.540 Å, b = 6.540 Å, c = 6.540 Å, α = 90.00°, β = 90.00° and γ = 90.00°. Symmetry generates all atoms from Ho at (0.000, 0.000, 0.000), Zr at (0.000, 0.000, 0.500), Co at (0.250, 0.250, 0.250) and Ni at (0.250, 0.250, 0.750).



[4]
Here is a relaxed HoNpCo4 crystal from Alexandria. Energies are from GGA-PBE.

Its volume is 14.816 A^3/atom. As for the crystal system: cubic. Its energy relative to the elements is -0.124 eV per atom.

It has space group F-43m (No. 216), with a = 7.085 Å, b = 7.085 Å, c = 7.085 Å, α = 90.00°, β = 90.00° and γ = 90.00°. Symmetry generates all atoms from Ho at (0.000, 0.000, 0.000), Np at (0.250, 0.250, 0.750) and Co at (0.125, 0.125, 0.375).



[5]
Here is a relaxed HoNp2Co9 crystal from Alexandria. Energies are from GGA-PBE.

Its volume is 13.908 A^3/atom. As for the crystal system: trigonal. Its energy relative to the elements is -0.116 eV per atom.

It has space group R-3m (No. 166, hexagonal axes), with a = 4.8601 Å, b = 4.8601 Å, c = 24.4768 Å, α = 90.00°, β = 90.00° and γ = 120.00°. Symmetry generates all atoms from Ho at (0.0000, 0.0000, 0.0000), Np at (0.0000, 0.0000, 0.1406), Co at (0.0000, 0.0000, 0.3328), Co at (0.0000, 0.0000, 0.5000) and Co at (0.0008, 0.5004, 0.0818).



[6]
Here is a relaxed HoNpCo10 crystal from Alexandria. Energies are from GGA-PBE.

Its volume is 13.553 A^3/atom. As for the crystal system: orthorhombic. Its energy relative to the elements is -0.077 eV per atom.

It has space group Pmmm (No. 47), with a = 3.981 Å, b = 4.884 Å, c = 8.364 Å, α = 90.00°, β = 90.00° and γ = 90.00°. Symmetry generates all atoms from Ho at (0.000, 0.000, 0.000), Np at (0.000, 0.500, 0.500), Co at (0.000, 0.000, 0.344), Co at (0.000, 0.500, 0.184), Co at (0.500, 0.000, 0.500), Co at (0.500, 0.247, 0.250) and Co at (0.500, 0.500, 0.000).



[7]
Here is a relaxed Ho3NpCo8 crystal from Alexandria. Energies are from GGA-PBE.

Its volume is 15.010 A^3/atom. As for the crystal system: trigonal. Its energy relative to the elements is -0.168 eV per atom.

It has space group R3m (No. 160, hexagonal axes), with a = 5.0347 Å, b = 5.0347 Å, c = 24.6154 Å, α = 90.00°, β = 90.00° and γ = 120.00°. Symmetry generates all atoms from Ho at (0.0000, 0.0000, 0.0000), Ho at (0.0000, 0.0000, 0.1252), Ho at (0.0000, 0.0000, 0.5001), Np at (0.0000, 0.0000, 0.6250), Co at (0.0000, 0.0000, 0.3122), Co at (0.0000, 0.0000, 0.8124), Co at (0.0003, 0.5001, 0.5634) and Co at (0.1677, 0.3354, 0.3950).



Question: Which formula does entry 6 have?
Answer: HoNpCo10



Question: The lowest energy relative to the elements belongs to which entry?
Answer: HoZrCoNi



Question: Which value of energy relative to the elements does entry 5 give?
Answer: -0.116 eV per atom